## InP2S2 (PBE)

Data for InP2S2 after structural relaxation.

The structure belongs to space group P4/mmm (No. 123); the cell edges are 5.0135, 5.0135 and 5.1202 Å and the angles 90.00°, 90.00° and 90.00°. The distinct sites, in fractional coordinates, are In at (0.0000, 0.0000, 0.0000), P at (0.0000, 0.0000, 0.5000), P at (0.5000, 0.5000, 0.5000) and S at (0.0000, 0.5000, 0.0000).

The value obtained for the energy above the most stable polymorph in this dataset is 1.1557 eV/atom. As for the mass density: 3108 kg/m³. The value obtained for the uncorrected formation energy is 6.11 eV per formula unit. The calculated total energy is -3.142 eV per atom.